1.
Bi2Pb2S: relaxed, PBE.

Computed properties:
Uncorrected energy ... -3.755 eV/atom
ΔE to the lowest computed polymorph ... 0 meV/atom
Formation energy from raw total energies ... 0.53 eV/f.u.

Geometry as CIF:
```
data_Bi2Pb2S
_cell_length_a 7.901
_cell_length_b 7.901
_cell_length_c 5.266
_cell_angle_alpha 90.00
_cell_angle_beta 90.00
_cell_angle_gamma 90.00
_space_group_name_H-M_alt 'P 4/m b m'
_space_group_IT_number 127
_space_group_name_Hall '-P 4 2ab'
loop_
_atom_site_label
_atom_site_type_symbol
_atom_site_fract_x
_atom_site_fract_y
_atom_site_fract_z
Bi1 Bi 0.132 0.368 0.000
Pb1 Pb 0.184 0.684 0.500
S1 S 0.000 0.000 0.500
```


2.
BiPb2S3: relaxed, PBE.

Computed properties:
Uncorrected energy ... -4.327 eV/atom
Formation energy from raw total energies ... -2.28 eV/f.u.

Geometry as CIF:
```
data_BiPb2S3
_cell_length_a 4.285
_cell_length_b 6.071
_cell_length_c 12.355
_cell_angle_alpha 90.00
_cell_angle_beta 90.00
_cell_angle_gamma 90.00
_space_group_name_H-M_alt 'I m m m'
_space_group_IT_number 71
_space_group_name_Hall '-I 2 2'
loop_
_atom_site_label
_atom_site_type_symbol
_atom_site_fract_x
_atom_site_fract_y
_atom_site_fract_z
Bi1 Bi 0.000 0.000 0.000
Pb1 Pb 0.000 0.000 0.335
S1 S 0.000 0.500 0.000
S2 S 0.000 0.500 0.343
```


3.
Bi3PbS: relaxed, PBE.

Computed properties:
Uncorrected energy ... -3.613 eV/atom
ΔE to the lowest computed polymorph ... 0 meV/atom
Formation energy from raw total energies ... 1.41 eV/f.u.

Geometry as CIF:
```
data_Bi3PbS
_cell_length_a 5.460
_cell_length_b 5.460
_cell_length_c 5.460
_cell_angle_alpha 90.00
_cell_angle_beta 90.00
_cell_angle_gamma 90.00
_space_group_name_H-M_alt 'P m -3 m'
_space_group_IT_number 221
_space_group_name_Hall '-P 4 2 3'
loop_
_atom_site_label
_atom_site_type_symbol
_atom_site_fract_x
_atom_site_fract_y
_atom_site_fract_z
Bi1 Bi 0.000 0.000 0.500
Pb1 Pb 0.500 0.500 0.500
S1 S 0.000 0.000 0.000
```


4.
Bi2SbPbS: relaxed, PBE.

Computed properties:
Uncorrected energy ... -3.621 eV/atom
Formation energy from raw total energies ... 1.62 eV/f.u.

Geometry as CIF:
```
data_Bi2SbPbS
_cell_length_a 5.423
_cell_length_b 5.423
_cell_length_c 5.538
_cell_angle_alpha 90.00
_cell_angle_beta 90.00
_cell_angle_gamma 90.00
_space_group_name_H-M_alt 'P 4/m m m'
_space_group_IT_number 123
_space_group_name_Hall '-P 4 2'
loop_
_atom_site_label
_atom_site_type_symbol
_atom_site_fract_x
_atom_site_fract_y
_atom_site_fract_z
Bi1 Bi 0.000 0.500 0.000
Sb1 Sb 0.000 0.000 0.500
Pb1 Pb 0.500 0.500 0.500
S1 S 0.500 0.500 0.000
```